No. 1
VASP calculation (PBE) on an optimized crystal structure of YRe3I.

Calculated values
ΔE to the lowest computed polymorph: 1.196 eV/atom
energy relative to the elements, uncorrected: 16.362 eV per formula unit

Unit cell a=4.9974 b=4.9974 c=4.9974 alpha=90.00 beta=90.00 gamma=90.00
Sites, in units of the cell vectors:
Y  0.0000  0.0000  0.0000
Re  0.0000  0.0000  0.5000
Re  0.0000  0.5000  0.0000
Re  0.5000  0.0000  0.0000
I  0.5000  0.5000  0.5000



No. 2
VASP calculation (PBE) on an optimized crystal structure of La2PmHoTm5.

Calculated values
uncorrected energy: -78.407 eV/cell

Unit cell a=9.9132 b=9.9132 c=9.9132 alpha=128.35 beta=128.35 gamma=76.06
Sites, in units of the cell vectors:
La  0.1172  0.6172  0.7344
La  0.3828  0.1172  0.5000
La  0.6172  0.8828  0.5000
La  0.8828  0.3828  0.2656
Pm  0.2500  0.2500  0.0000
Pm  0.7500  0.7500  0.0000
Ho  0.2500  0.7500  0.5000
Ho  0.7500  0.2500  0.5000
Tm  0.0000  0.0000  0.0000
Tm  0.0740  0.1435  0.5000
Tm  0.1435  0.6435  0.0695
Tm  0.3565  0.4260  0.5000
Tm  0.4260  0.9260  0.0695
Tm  0.5000  0.5000  0.0000
Tm  0.5740  0.0740  0.9305
Tm  0.6435  0.5740  0.5000
Tm  0.8565  0.3565  0.9305
Tm  0.9260  0.8565  0.5000



No. 3
VASP calculation (PBE) on an optimized crystal structure of ThZn5.

Calculated values
uncorrected energy: -14.178 eV/cell

Unit cell a=6.0962 b=6.0962 c=4.5295 alpha=90.00 beta=90.00 gamma=136.88
Sites, in units of the cell vectors:
Th  0.0000  0.0000  0.0000
Zn  0.1813  0.8187  0.5000
Zn  0.3108  0.6892  0.0000
Zn  0.5000  0.5000  0.5000
Zn  0.6892  0.3108  0.0000
Zn  0.8187  0.1813  0.5000



No. 4
VASP calculation (PBE) on an optimized crystal structure of CoCuRu.

Calculated values
ΔE to the lowest computed polymorph: 0.132 eV/atom

Unit cell a=6.8344 b=6.6264 c=2.5629 alpha=83.63 beta=74.49 gamma=21.88
Sites, in units of the cell vectors:
Co  0.0000  0.0000  0.0000
Cu  0.6621  0.6621  0.3379
Ru  0.3369  0.3369  0.6631



No. 5
VASP calculation (PBE) on an optimized crystal structure of La2TaReRu.

Calculated values
uncorrected energy: -37.914 eV/cell

Unit cell a=5.3541 b=5.3541 c=4.9068 alpha=90.00 beta=90.00 gamma=90.00
Sites, in units of the cell vectors:
La  0.0000  0.5000  0.0000
La  0.5000  0.0000  0.0000
Ta  0.0000  0.0000  0.5000
Re  0.0000  0.0000  0.0000
Ru  0.5000  0.5000  0.5000



No. 6
VASP calculation (PBE) on an optimized crystal structure of Ta2VHPd.

Calculated values
ΔE to the lowest computed polymorph: 0.000 eV/atom

Unit cell a=4.2474 b=4.2474 c=3.7195 alpha=90.00 beta=90.00 gamma=90.00
Sites, in units of the cell vectors:
Ta  0.0000  0.5000  0.0000
Ta  0.5000  0.0000  0.0000
V  0.0000  0.0000  0.5000
H  0.0000  0.0000  0.0000
Pd  0.5000  0.5000  0.5000